DFT (PBE with a Hubbard U) results for an optimized crystal structure of RbAl2CrF8.

Results
DFT total energy	-200.4	eV per cell
size of the total moment	5.00	μB/f.u.

Cell: 5.4734 5.4734 23.9400 Å, 90.00 90.00 120.00°
Space group R-3 (No. 148, hexagonal axes)
Inequivalent atoms, fractional coordinates:
1 Rb 0.0000 0.0000 0.0000 x3
2 Al 0.0000 0.0000 0.2472 x6
3 Cr 0.0000 0.0000 0.5000 x3
4 F 0.0000 0.0000 0.3184 x6
5 F 0.0108 0.7084 0.7735 x18



DFT (PBE with a Hubbard U) results for an optimized crystal structure of RbAlCrF6.

Results
DFT total energy	-205.7	eV per cell
size of the total moment	4.00	μB/f.u.

Cell: 7.2384 7.3029 10.2662 Å, 90.00 90.00 90.00°
Space group Imma (No. 74)
Inequivalent atoms, fractional coordinates:
1 Rb 0.0000 0.2500 0.1420 x4
2 Al 0.0000 0.0000 0.5000 x4
3 Cr 0.2500 0.2500 0.7500 x4
4 F 0.0000 0.2500 0.4830 x4
5 F 0.0000 0.2500 0.8363 x4
6 F 0.1777 0.0137 0.6248 x16



DFT (PBE with a Hubbard U) results for an optimized crystal structure of AlCrRuF2.

Results
DFT total energy	-24.8	eV per cell
size of the total moment	1.47	μB/f.u.

Cell: 3.6565 3.6565 6.4903 Å, 90.00 90.00 90.00°
Space group P4/mmm (No. 123)
Inequivalent atoms, fractional coordinates:
1 Al 0.0000 0.0000 0.0000 x1
2 Cr 0.0000 0.0000 0.5000 x1
3 Ru 0.5000 0.5000 0.0000 x1
4 F 0.0000 0.5000 0.5000 x2